Model A:
# PBE PaIn2Pt, optimized geometry
data_PaIn2Pt
_chemical_formula_sum 'Pa2 In4 Pt2'
_cell_length_a 4.826
_cell_length_b 4.826
_cell_length_c 8.042
_cell_angle_alpha 90.00
_cell_angle_beta 90.00
_cell_angle_gamma 90.00
_space_group_name_H-M_alt 'P 4/n m m'
_space_group_IT_number 129
loop_
_space_group_symop_operation_xyz
'x,y,z'
'-x,-y,-z'
'-y+1/2,x,z'
'y+1/2,-x,-z'
'-x+1/2,-y+1/2,z'
'x+1/2,y+1/2,-z'
'y,-x+1/2,z'
'-y,x+1/2,-z'
'x+1/2,-y,-z'
'-x+1/2,y,z'
'-y,-x,-z'
'y,x,z'
'-x,y+1/2,-z'
'x,-y+1/2,z'
'y+1/2,x+1/2,-z'
'-y+1/2,-x+1/2,z'
loop_
_atom_site_label
_atom_site_type_symbol
_atom_site_fract_x
_atom_site_fract_y
_atom_site_fract_z
_atom_site_occupancy
Pa1 Pa 0.250 0.250 0.195 1
In1 In 0.250 0.250 0.766 1
In2 In 0.250 0.750 0.500 1
Pt1 Pt 0.250 0.750 0.000 1
# Mass density ... 11.6 g/cm³

---

Model B:
# PBE PaIn2Pt, optimized geometry
data_PaIn2Pt
_chemical_formula_sum 'Pa3 In6 Pt3'
_cell_length_a 3.1298
_cell_length_b 3.1298
_cell_length_c 32.6443
_cell_angle_alpha 90.00
_cell_angle_beta 90.00
_cell_angle_gamma 120.00
_space_group_name_H-M_alt 'R -3 m'
_space_group_IT_number 166
_space_group_name_Hall '-R 3 2"'
loop_
_atom_site_label
_atom_site_type_symbol
_atom_site_fract_x
_atom_site_fract_y
_atom_site_fract_z
_atom_site_occupancy
Pa1 Pa 0.0000 0.0000 0.0000 1
In1 In 0.0000 0.0000 0.0987 1
Pt1 Pt 0.0000 0.0000 0.5000 1
# Mass density ... 11.8 g/cm³

---

Of them, model B has the lowest stability.

---

Model A:
# PBE PaInPt6, optimized geometry
data_PaInPt6
_chemical_formula_sum 'Pa1 In1 Pt6'
_cell_length_a 5.7912
_cell_length_b 5.7912
_cell_length_c 4.8047
_cell_angle_alpha 90.00
_cell_angle_beta 90.00
_cell_angle_gamma 120.00
_space_group_name_H-M_alt 'P -6 m 2'
_space_group_IT_number 187
_space_group_name_Hall 'P -6 2'
loop_
_atom_site_label
_atom_site_type_symbol
_atom_site_fract_x
_atom_site_fract_y
_atom_site_fract_z
_atom_site_occupancy
Pa1 Pa 0.0000 0.0000 0.0000 1
In1 In 0.3333 0.6667 0.5000 1
Pt1 Pt 0.3376 0.1688 0.5000 1
Pt2 Pt 0.5016 0.0032 0.0000 1
# Mass density ... 18.0 g/cm³

---

Model B:
# PBE PaInPt6, optimized geometry
data_PaInPt6
_chemical_formula_sum 'Pa1 In1 Pt6'
_cell_length_a 4.125
_cell_length_b 4.125
_cell_length_c 8.186
_cell_angle_alpha 90.00
_cell_angle_beta 90.00
_cell_angle_gamma 90.00
_space_group_name_H-M_alt 'P 4/m m m'
_space_group_IT_number 123
_space_group_name_Hall '-P 4 2'
loop_
_atom_site_label
_atom_site_type_symbol
_atom_site_fract_x
_atom_site_fract_y
_atom_site_fract_z
_atom_site_occupancy
Pa1 Pa 0.000 0.000 0.000 1
In1 In 0.000 0.000 0.500 1
Pt1 Pt 0.000 0.500 0.248 1
Pt2 Pt 0.500 0.500 0.000 1
Pt3 Pt 0.500 0.500 0.500 1
# Mass density ... 18.1 g/cm³

---

Of them, model A has the lowest stability.

---

Model A:
# PBE PaInPt4, optimized geometry
data_PaInPt4
_chemical_formula_sum 'Pa4 In4 Pt16'
_cell_length_a 7.637
_cell_length_b 7.637
_cell_length_c 7.637
_cell_angle_alpha 90.00
_cell_angle_beta 90.00
_cell_angle_gamma 90.00
_space_group_name_H-M_alt 'F -4 3 m'
_space_group_IT_number 216
_space_group_name_Hall 'F -4 2 3'
loop_
_atom_site_label
_atom_site_type_symbol
_atom_site_fract_x
_atom_site_fract_y
_atom_site_fract_z
_atom_site_occupancy
Pa1 Pa 0.000 0.000 0.000 1
In1 In 0.250 0.250 0.750 1
Pt1 Pt 0.125 0.125 0.375 1
# Mass density ... 16.8 g/cm³

---

Model B:
# PBE PaInPt4, optimized geometry
data_PaInPt4
_chemical_formula_sum 'Pa1 In1 Pt4'
_cell_length_a 3.715
_cell_length_b 3.721
_cell_length_c 8.251
_cell_angle_alpha 90.00
_cell_angle_beta 90.18
_cell_angle_gamma 90.00
_space_group_name_H-M_alt 'P 1 2/m 1'
_space_group_IT_number 10
loop_
_space_group_symop_operation_xyz
'x,y,z'
'-x,-y,-z'
'-x,y,-z'
'x,-y,z'
loop_
_atom_site_label
_atom_site_type_symbol
_atom_site_fract_x
_atom_site_fract_y
_atom_site_fract_z
_atom_site_occupancy
Pa1 Pa 0.000 0.000 0.000 1
In1 In 0.500 0.500 0.500 1
Pt1 Pt 0.001 0.000 0.326 1
Pt2 Pt 0.499 0.500 0.831 1
# Mass density ... 16.4 g/cm³

---

Of them, model B has the lowest stability.

---

Model A:
# PBE PaInRh4, optimized geometry
data_PaInRh4
_chemical_formula_sum 'Pa4 In4 Rh16'
_cell_length_a 7.485
_cell_length_b 7.485
_cell_length_c 7.485
_cell_angle_alpha 90.00
_cell_angle_beta 90.00
_cell_angle_gamma 90.00
_space_group_name_H-M_alt 'F -4 3 m'
_space_group_IT_number 216
_space_group_name_Hall 'F -4 2 3'
loop_
_atom_site_label
_atom_site_type_symbol
_atom_site_fract_x
_atom_site_fract_y
_atom_site_fract_z
_atom_site_occupancy
Pa1 Pa 0.000 0.000 0.000 1
In1 In 0.250 0.250 0.750 1
Rh1 Rh 0.124 0.124 0.376 1
# Mass density ... 12.0 g/cm³

---

Model B:
# PBE PaInRh4, optimized geometry
data_PaInRh4
_chemical_formula_sum 'Pa1 In1 Rh4'
_cell_length_a 4.442
_cell_length_b 4.442
_cell_length_c 5.983
_cell_angle_alpha 90.00
_cell_angle_beta 90.00
_cell_angle_gamma 90.00
_space_group_name_H-M_alt 'P 4/m m m'
_space_group_IT_number 123
_space_group_name_Hall '-P 4 2'
loop_
_atom_site_label
_atom_site_type_symbol
_atom_site_fract_x
_atom_site_fract_y
_atom_site_fract_z
_atom_site_occupancy
Pa1 Pa 0.000 0.000 0.000 1
In1 In 0.500 0.500 0.500 1
Rh1 Rh 0.000 0.500 0.242 1
# Mass density ... 10.7 g/cm³

---

Of them, model B has the lowest stability.

---

Model A:
# PBE Pa2InRu, optimized geometry
data_Pa2InRu
_chemical_formula_sum 'Pa6 In3 Ru3'
_cell_length_a 3.7942
_cell_length_b 3.7942
_cell_length_c 24.7849
_cell_angle_alpha 90.00
_cell_angle_beta 90.00
_cell_angle_gamma 120.00
_space_group_name_H-M_alt 'R -3 m'
_space_group_IT_number 166
_space_group_name_Hall '-R 3 2"'
loop_
_atom_site_label
_atom_site_type_symbol
_atom_site_fract_x
_atom_site_fract_y
_atom_site_fract_z
_atom_site_occupancy
Pa1 Pa 0.0000 0.0000 0.2333 1
In1 In 0.0000 0.0000 0.0000 1
Ru1 Ru 0.0000 0.0000 0.5000 1
# Mass density ... 10.9 g/cm³

---

Model B:
# PBE Pa2InRu, optimized geometry
data_Pa2InRu
_chemical_formula_sum 'Pa2 In1 Ru1'
_cell_length_a 3.619
_cell_length_b 3.619
_cell_length_c 7.060
_cell_angle_alpha 90.00
_cell_angle_beta 90.00
_cell_angle_gamma 90.00
_space_group_name_H-M_alt 'P 4/m m m'
_space_group_IT_number 123
_space_group_name_Hall '-P 4 2'
loop_
_atom_site_label
_atom_site_type_symbol
_atom_site_fract_x
_atom_site_fract_y
_atom_site_fract_z
_atom_site_occupancy
Pa1 Pa 0.000 0.000 0.199 1
In1 In 0.500 0.500 0.500 1
Ru1 Ru 0.500 0.500 0.000 1
# Mass density ... 12.2 g/cm³

---

Of them, model A has the lowest stability.

---

Model A:
# PBE Pa2InS, optimized geometry
data_Pa2InS
_chemical_formula_sum 'Pa6 In3 S3'
_cell_length_a 3.3967
_cell_length_b 3.3967
_cell_length_c 28.0784
_cell_angle_alpha 90.00
_cell_angle_beta 90.00
_cell_angle_gamma 120.00
_space_group_name_H-M_alt 'R -3 m'
_space_group_IT_number 166
_space_group_name_Hall '-R 3 2"'
loop_
_atom_site_label
_atom_site_type_symbol
_atom_site_fract_x
_atom_site_fract_y
_atom_site_fract_z
_atom_site_occupancy
Pa1 Pa 0.0000 0.0000 0.2361 1
In1 In 0.0000 0.0000 0.0000 1
S1 S 0.0000 0.0000 0.5000 1
# Mass density ... 10.8 g/cm³

---

Model B:
# PBE Pa2InS, optimized geometry
data_Pa2InS
_chemical_formula_sum 'Pa2 In1 S1'
_cell_length_a 3.332
_cell_length_b 3.332
_cell_length_c 8.142
_cell_angle_alpha 90.00
_cell_angle_beta 90.00
_cell_angle_gamma 90.00
_space_group_name_H-M_alt 'P 4/m m m'
_space_group_IT_number 123
_space_group_name_Hall '-P 4 2'
loop_
_atom_site_label
_atom_site_type_symbol
_atom_site_fract_x
_atom_site_fract_y
_atom_site_fract_z
_atom_site_occupancy
Pa1 Pa 0.000 0.000 0.212 1
In1 In 0.500 0.500 0.500 1
S1 S 0.500 0.500 0.000 1
# Mass density ... 11.2 g/cm³

---

Of them, model B has the lowest stability.

---

Model A:
# PBE PaInS4, optimized geometry
data_PaInS4
_chemical_formula_sum 'Pa8 In8 S32'
_cell_length_a 12.250
_cell_length_b 12.734
_cell_length_c 7.789
_cell_angle_alpha 90.00
_cell_angle_beta 90.00
_cell_angle_gamma 90.00
_space_group_name_H-M_alt 'F d d 2'
_space_group_IT_number 43
_space_group_name_Hall 'F 2 -2d'
loop_
_atom_site_label
_atom_site_type_symbol
_atom_site_fract_x
_atom_site_fract_y
_atom_site_fract_z
_atom_site_occupancy
Pa1 Pa 0.000 0.000 0.000 1
In1 In 0.000 0.000 0.511 1
S1 S 0.119 0.078 0.255 1
S2 S 0.119 0.082 0.757 1
# Mass density ... 5.2 g/cm³

---

Model B:
# PBE PaInS4, optimized geometry
data_PaInS4
_chemical_formula_sum 'Pa2 In2 S8'
_cell_length_a 6.588
_cell_length_b 6.402
_cell_length_c 6.566
_cell_angle_alpha 90.00
_cell_angle_beta 95.87
_cell_angle_gamma 90.00
_space_group_name_H-M_alt 'P 1 21/c 1'
_space_group_IT_number 14
loop_
_space_group_symop_operation_xyz
'x,y,z'
'-x,-y,-z'
'-x,y+1/2,-z+1/2'
'x,-y+1/2,z+1/2'
loop_
_atom_site_label
_atom_site_type_symbol
_atom_site_fract_x
_atom_site_fract_y
_atom_site_fract_z
_atom_site_occupancy
Pa1 Pa 0.000 0.000 0.000 1
In1 In 0.500 0.000 0.500 1
S1 S 0.193 0.198 0.330 1
S2 S 0.284 0.714 0.258 1
# Mass density ... 5.7 g/cm³

---

Of them, model B has the lowest stability.

---

Model A:
# PBE PaInSb, optimized geometry
data_PaInSb
_chemical_formula_sum 'Pa2 In2 Sb2'
_cell_length_a 4.349
_cell_length_b 4.349
_cell_length_c 8.587
_cell_angle_alpha 90.00
_cell_angle_beta 90.00
_cell_angle_gamma 90.00
_space_group_name_H-M_alt 'P 4/n m m'
_space_group_IT_number 129
loop_
_space_group_symop_operation_xyz
'x,y,z'
'-x,-y,-z'
'-y+1/2,x,z'
'y+1/2,-x,-z'
'-x+1/2,-y+1/2,z'
'x+1/2,y+1/2,-z'
'y,-x+1/2,z'
'-y,x+1/2,-z'
'x+1/2,-y,-z'
'-x+1/2,y,z'
'-y,-x,-z'
'y,x,z'
'-x,y+1/2,-z'
'x,-y+1/2,z'
'y+1/2,x+1/2,-z'
'-y+1/2,-x+1/2,z'
loop_
_atom_site_label
_atom_site_type_symbol
_atom_site_fract_x
_atom_site_fract_y
_atom_site_fract_z
_atom_site_occupancy
Pa1 Pa 0.250 0.250 0.196 1
In1 In 0.250 0.750 0.500 1
Sb1 Sb 0.250 0.250 0.834 1
# Mass density ... 9.6 g/cm³

---

Model B:
# PBE PaInSb, optimized geometry
data_PaInSb
_chemical_formula_sum 'Pa1 In1 Sb1'
_cell_length_a 5.3107
_cell_length_b 5.3107
_cell_length_c 3.1191
_cell_angle_alpha 90.00
_cell_angle_beta 90.00
_cell_angle_gamma 120.00
_space_group_name_H-M_alt 'P -6 m 2'
_space_group_IT_number 187
_space_group_name_Hall 'P -6 2'
loop_
_atom_site_label
_atom_site_type_symbol
_atom_site_fract_x
_atom_site_fract_y
_atom_site_fract_z
_atom_site_occupancy
Pa1 Pa 0.0000 0.0000 0.0000 1
In1 In 0.6667 0.3333 0.5000 1
Sb1 Sb 0.3333 0.6667 0.5000 1
# Mass density ... 10.2 g/cm³

---

Model C:
# PBE PaInSb, optimized geometry
data_PaInSb
_chemical_formula_sum 'Pa2 In2 Sb2'
_cell_length_a 3.823
_cell_length_b 3.823
_cell_length_c 10.641
_cell_angle_alpha 90.00
_cell_angle_beta 90.00
_cell_angle_gamma 90.00
_space_group_name_H-M_alt 'I 4 m m'
_space_group_IT_number 107
_space_group_name_Hall 'I 4 -2'
loop_
_atom_site_label
_atom_site_type_symbol
_atom_site_fract_x
_atom_site_fract_y
_atom_site_fract_z
_atom_site_occupancy
Pa1 Pa 0.000 0.000 0.000 1
In1 In 0.000 0.000 0.316 1
Sb1 Sb 0.000 0.000 0.661 1
# Mass density ... 10.0 g/cm³

---

Model D:
# PBE PaInSb, optimized geometry
data_PaInSb
_chemical_formula_sum 'Pa4 In4 Sb4'
_cell_length_a 4.304
_cell_length_b 16.268
_cell_length_c 4.455
_cell_angle_alpha 90.00
_cell_angle_beta 90.00
_cell_angle_gamma 90.00
_space_group_name_H-M_alt 'C m c m'
_space_group_IT_number 63
_space_group_name_Hall '-C 2c 2'
loop_
_atom_site_label
_atom_site_type_symbol
_atom_site_fract_x
_atom_site_fract_y
_atom_site_fract_z
_atom_site_occupancy
Pa1 Pa 0.000 0.090 0.250 1
In1 In 0.000 0.246 0.750 1
Sb1 Sb 0.000 0.422 0.250 1
# Mass density ... 10.0 g/cm³

---

Of them, model B has the lowest stability.